(1)
This record from the Alexandria database describes Be2SiNi after structural relaxation. The functional is PBE.

Output
The calculation puts the total moment at 0.00 μB/f.u. The value obtained for the density of states at the Fermi level is 1.0 states/eV/cell. The formation energy from raw total energies is -0.149 eV/atom. Its space-group type is No. 8.

a = 4.0638 Å, b = 4.0638 Å, c = 4.0274 Å
α = 99.84°, β = 99.84°, γ = 37.23°
Closest atoms and distances in Å follow each position.
Atoms (fractional coordinates):
Be: 0.0000 0.0000 0.0000  3 Be 2.28-2.37, 3 Ni 2.35-2.38, 4 Si 2.38-2.41
Be: 0.2495 0.2495 0.7701  3 Be 2.28-2.37, 4 Ni 2.34-2.45, 3 Si 2.35-2.42
Si: 0.4964 0.4964 0.5041  3 Ni 2.34-2.38, 7 Be 2.35-2.42, 2 Si 2.59
Ni: 0.7476 0.7476 0.2535  3 Si 2.34-2.38, 7 Be 2.34-2.45, 2 Ni 2.59

(2)
This record from the Alexandria database describes Na2PtSe2 after structural relaxation. The functional is PBE.

Output
The calculation puts the total moment at 0.00 μB/f.u. The value obtained for the density of states at the Fermi level is 10.7 states/eV/cell. The formation energy from raw total energies is -0.091 eV/atom. Its space-group type is No. 127.

a = 8.1254 Å, b = 8.1254 Å, c = 3.0163 Å
α = 90.00°, β = 90.00°, γ = 90.00°
Closest atoms and distances in Å follow each position.
Atoms (fractional coordinates):
Na: 0.1214 0.3786 0.0000  6 Se 2.71-2.94, 3 Na 2.79-3.02
Na: 0.3786 0.8786 0.0000  6 Se 2.71-2.94, 3 Na 2.79-3.02
Na: 0.6214 0.1214 0.0000  6 Se 2.71-2.94, 3 Na 2.79-3.02
Na: 0.8786 0.6214 0.0000  6 Se 2.71-2.94, 3 Na 2.79-3.02
Pt: 0.0000 0.0000 0.0000  2 Pt 3.02, 4 Na 3.23, 8 Se 3.33
Pt: 0.5000 0.5000 0.0000  2 Pt 3.02, 4 Na 3.23, 8 Se 3.33
Se: 0.1831 0.6831 0.5000  6 Na 2.71-2.94, 2 Se 3.02
Se: 0.3169 0.1831 0.5000  6 Na 2.71-2.94, 2 Se 3.02
Se: 0.6831 0.8169 0.5000  6 Na 2.71-2.94, 2 Se 3.02
Se: 0.8169 0.3169 0.5000  6 Na 2.71-2.94, 2 Se 3.02

(3)
This record from the Alexandria database describes Pu12GeRh6 after structural relaxation. The functional is PBE.

Output
The calculation puts the total moment at 0.30 μB/f.u. The value obtained for the density of states at the Fermi level is 60.1 states/eV/cell. Its space-group type is No. 148. The calculation puts the calculated total energy at -0.436 hartree per atom.

a = 7.2866 Å, b = 7.2866 Å, c = 7.2866 Å
α = 94.30°, β = 94.30°, γ = 94.30°
Closest atoms and distances in Å follow each position.
Atoms (fractional coordinates):
Pu: 0.0879 0.3997 0.1552  1 Pu 2.61
Pu: 0.1552 0.0879 0.3997  1 Pu 2.61
Pu: 0.1775 0.5926 0.4696  2 Pu 2.61-2.91, 1 Rh 2.83
Pu: 0.3997 0.1552 0.0879  1 Pu 2.61
Pu: 0.4074 0.5304 0.8225  2 Pu 2.61-2.91, 1 Rh 2.83
Pu: 0.4696 0.1775 0.5926  2 Pu 2.61-2.91, 1 Rh 2.83
Pu: 0.5304 0.8225 0.4074  2 Pu 2.61-2.91, 1 Rh 2.83
Pu: 0.5926 0.4696 0.1775  2 Pu 2.61-2.91, 1 Rh 2.83
Pu: 0.6003 0.8448 0.9121  1 Pu 2.61
Pu: 0.8225 0.4074 0.5304  2 Pu 2.61-2.91, 1 Rh 2.83
Pu: 0.8448 0.9121 0.6003  1 Pu 2.61
Pu: 0.9121 0.6003 0.8448  1 Pu 2.61
Ge: 0.0000 0.0000 0.0000  6 Rh 2.71
Rh: 0.1085 0.2562 0.7706  1 Ge 2.71, 5 Pu 2.83-3.01, 2 Rh 2.86
Rh: 0.2294 0.8915 0.7438  1 Ge 2.71, 5 Pu 2.83-3.01, 2 Rh 2.86
Rh: 0.2562 0.7706 0.1085  1 Ge 2.71, 5 Pu 2.83-3.01, 2 Rh 2.86
Rh: 0.7438 0.2294 0.8915  1 Ge 2.71, 5 Pu 2.83-3.01, 2 Rh 2.86
Rh: 0.7706 0.1085 0.2562  1 Ge 2.71, 5 Pu 2.83-3.01, 2 Rh 2.86
Rh: 0.8915 0.7438 0.2294  1 Ge 2.71, 5 Pu 2.83-3.01, 2 Rh 2.86